! Al2NiOs, optimized geometry, DFT PBE; values from VASP
&SYSTEM
  ibrav = 0, nat = 4, ntyp = 3
/
ATOMIC_SPECIES
Os 190.23 Os.upf
Al 26.98 Al.upf
Ni 58.69 Ni.upf
CELL_PARAMETERS angstrom
0.000 2.990 2.990
2.990 0.000 2.990
2.990 2.990 0.000
ATOMIC_POSITIONS angstrom
Os 2.990 2.990 2.990
Al 0.000 0.000 0.000
Ni 4.485 4.485 4.485
Al 1.495 1.495 1.495
! uncorrected energy = -24.910 eV per cell
! size of the total moment = 0.00 μB per formula unit

---

! Pr3Mg3CdAg2, optimized geometry, DFT PBE; values from VASP
&SYSTEM
  ibrav = 0, nat = 9, ntyp = 4
/
ATOMIC_SPECIES
Pr 140.91 Pr.upf
Cd 112.41 Cd.upf
Ag 107.87 Ag.upf
Mg 24.30 Mg.upf
CELL_PARAMETERS angstrom
-3.317 3.981 -5.847
6.117 -4.648 -1.416
-2.767 -3.412 -0.753
ATOMIC_POSITIONS angstrom
Pr -1.391 1.669 -2.452
Pr 1.626 -0.388 -4.217
Cd 0.000 0.000 0.000
Ag -1.556 -0.601 -4.747
Mg 3.222 -5.206 -1.443
Mg -3.881 1.291 -4.778
Mg -0.691 -1.871 -2.172
Ag 1.589 -3.478 -3.270
Pr 2.565 -1.949 -0.594
! uncorrected energy = -27.806 eV per cell
! size of the total moment = 0.03 μB per formula unit

---

! OsSe4, optimized geometry, DFT PBE; values from VASP
&SYSTEM
  ibrav = 0, nat = 10, ntyp = 2
/
ATOMIC_SPECIES
Se 78.96 Se.upf
Os 190.23 Os.upf
CELL_PARAMETERS angstrom
5.649 -3.005 0.000
5.649 3.005 0.000
-2.239 0.000 6.597
ATOMIC_POSITIONS angstrom
Se 5.754 -0.677 4.075
Se -0.221 -0.429 4.039
Se 8.160 -0.429 5.856
Se 3.304 0.677 2.522
Os 3.969 0.781 4.947
Se 2.185 -0.677 5.820
Os 5.089 -0.781 1.649
Se 6.873 0.677 0.777
Se 0.898 0.429 0.740
Se 9.280 0.429 2.558
! uncorrected energy = -49.132 eV per cell
! size of the total moment = 0.00 μB per formula unit

---

! TlCu15, optimized geometry, DFT PBE; values from VASP
&SYSTEM
  ibrav = 0, nat = 32, ntyp = 2
/
ATOMIC_SPECIES
Cu 63.55 Cu.upf
Tl 204.38 Tl.upf
CELL_PARAMETERS angstrom
5.130 0.000 0.000
0.000 2.607 0.000
-0.023 0.000 40.995
ATOMIC_POSITIONS angstrom
Cu 3.205 1.955 0.879
Cu 0.640 1.955 4.398
Cu 4.488 0.652 2.639
Cu 3.186 1.955 38.360
Cu 4.453 0.652 29.696
Cu 1.902 0.652 40.116
Tl 0.627 1.955 27.149
Tl 4.481 0.652 13.846
Cu 1.891 0.652 33.112
Cu 4.485 0.652 33.113
Cu 4.484 0.652 9.627
Cu 0.622 1.955 34.846
Cu 0.641 1.955 0.879
Cu 1.921 0.652 2.635
Cu 3.216 1.955 7.883
Cu 0.654 1.955 11.299
Cu 1.926 0.652 29.697
Cu 1.905 0.652 36.599
Cu 1.916 0.652 13.087
Cu 3.191 1.955 27.908
Cu 1.921 0.652 6.158
Cu 0.623 1.955 7.882
Cu 3.187 1.955 34.837
Cu 3.189 1.955 31.473
Cu 3.181 1.955 11.298
Cu 1.918 0.652 9.522
Cu 3.203 1.955 4.396
Cu 0.619 1.955 38.356
Cu 4.467 0.652 36.597
Cu 4.485 0.652 6.149
Cu 4.466 0.652 40.117
Cu 0.623 1.955 31.368
! E above lowest polymorph = 41 meV/atom